The following is a DFT calculation (PBE+U) of a geometry-optimized BiMoF3 structure.

abc: 4.4211 4.4211 4.4211
angles: 90.00 90.00 90.00
Last column: nearest neighbours and their distance in Å.
Sites, in units of the cell vectors:
F1 0.5000 0.0000 0.0000  2 Mo 2.21
F2 0.0000 0.5000 0.0000  2 Mo 2.21
F3 0.0000 0.0000 0.5000  2 Mo 2.21
Bi1 0.5000 0.5000 0.5000  12 F 3.13
Mo1 0.0000 0.0000 0.0000  6 F 2.21

Values from the calculation:
Its energy above the most stable polymorph in this dataset is 0.000 eV per atom. The calculation puts the total energy at -23.320 eV per cell. Its space group is Pm-3m (221).